## KAcSn2 (PBE-GGA)

Data for KAcSn2 after structural relaxation.

The structure in POSCAR format:
```
KAcSn2
1.0
4.4426 0.0000 0.0000
0.0000 4.4426 0.0000
0.0000 0.0000 7.9057
K Ac Sn
1 1 2
direct
0.0000 0.0000 0.0000 K
0.0000 0.0000 0.5000 Ac
0.5000 0.5000 0.3109 Sn
0.5000 0.5000 0.6891 Sn
```

Properties
Its calculated formation energy is -8.64 kcal/mol of atoms.

## Pm5Al2Si (PBE-GGA)

Data for Pm5Al2Si after structural relaxation.

The structure in POSCAR format:
```
Pm5Al2Si
1.0
-3.9685 3.9685 7.0010
3.9685 -3.9685 7.0010
3.9685 3.9685 -7.0010
Pm Al Si
10 4 2
direct
0.0000 0.0000 0.0000 Pm
0.0221 0.5221 0.8489 Pm
0.1732 0.0221 0.5000 Pm
0.3268 0.8268 0.8489 Pm
0.4779 0.3268 0.5000 Pm
0.5000 0.5000 0.0000 Pm
0.5221 0.6732 0.5000 Pm
0.6732 0.1732 0.1511 Pm
0.8268 0.9779 0.5000 Pm
0.9779 0.4779 0.1511 Pm
0.1174 0.3826 0.5000 Al
0.3826 0.8826 0.2652 Al
0.6174 0.1174 0.7348 Al
0.8826 0.6174 0.5000 Al
0.2500 0.2500 0.0000 Si
0.7500 0.7500 0.0000 Si
```

Properties
The formation energy from raw total energies is -0.36 eV per atom.

## Tb6ThSe8 (PBE-GGA)

Data for Tb6ThSe8 after structural relaxation.

The structure in POSCAR format:
```
Tb6ThSe8
1.0
0.0000 5.7811 5.7811
5.7811 0.0000 5.7811
5.7811 5.7811 0.0000
Tb Th Se
6 1 8
direct
0.0000 0.0000 0.5000 Tb
0.0000 0.5000 0.0000 Tb
0.0000 0.5000 0.5000 Tb
0.5000 0.0000 0.0000 Tb
0.5000 0.0000 0.5000 Tb
0.5000 0.5000 0.0000 Tb
0.0000 0.0000 0.0000 Th
0.2500 0.2500 0.2500 Se
0.2598 0.2598 0.7402 Se
0.2598 0.7402 0.2598 Se
0.2598 0.7402 0.7402 Se
0.7402 0.2598 0.2598 Se
0.7402 0.2598 0.7402 Se
0.7402 0.7402 0.2598 Se
0.7500 0.7500 0.7500 Se
```

Properties
The formation energy from raw total energies is -1.79 eV per atom.